(1)
The following is a DFT calculation (PBE) of crystalline CdInAsO at its relaxed geometry.

Summary:
Polymorph energy (0 for the lowest one) = 24.3 kJ/mol of atoms
Space-group type = No. 129
Crystal system = tetragonal
Final energy = -29.42 eV for the cell shown

Cell lengths 4.4746, 4.4746, 9.5586 Å; angles 90.00, 90.00, 90.00 degrees
With the nearest neighbours (Å) after each atom.
Fractional positions:
1 As 0.7500 0.7500 0.3308  4 In 2.76, 1 Cd 2.86
2 As 0.2500 0.2500 0.6692  4 In 2.76, 1 Cd 2.86
3 O 0.2500 0.7500 0.0000  4 Cd 2.26
4 O 0.7500 0.2500 0.0000  4 Cd 2.26
5 In 0.2500 0.7500 0.5000  4 As 2.76
6 In 0.7500 0.2500 0.5000  4 As 2.76
7 Cd 0.2500 0.2500 0.9689  4 O 2.26
8 Cd 0.7500 0.7500 0.0311  4 O 2.26

(2)
The following is a DFT calculation (PBE) of crystalline CdInAsO at its relaxed geometry.

Summary:
Polymorph energy (0 for the lowest one) = 18.2 kJ/mol of atoms
Space-group type = No. 129
Crystal system = tetragonal
Final energy = -29.93 eV for the cell shown

Cell lengths 4.0641, 4.0641, 9.1798 Å; angles 90.00, 90.00, 90.00 degrees
With the nearest neighbours (Å) after each atom.
Fractional positions:
1 Cd 0.0000 0.0000 0.5000  4 As 2.78, 4 Cd 2.87
2 Cd 0.5000 0.5000 0.5000  4 As 2.78, 4 Cd 2.87
3 O 0.0000 0.0000 0.0000  4 In 2.26
4 O 0.5000 0.5000 0.0000  4 In 2.26
5 As 0.5000 0.0000 0.7068  4 Cd 2.78
6 As 0.0000 0.5000 0.2932  4 Cd 2.78
7 In 0.5000 0.0000 0.1069  4 O 2.26
8 In 0.0000 0.5000 0.8931  4 O 2.26

(3)
The following is a DFT calculation (PBE) of crystalline CdInAsO at its relaxed geometry.

Summary:
Polymorph energy (0 for the lowest one) = 7.1 kJ/mol of atoms
Space-group type = No. 26
Crystal system = orthorhombic
Final energy = -30.84 eV for the cell shown

Cell lengths 3.9932, 6.6208, 6.5456 Å; angles 90.00, 90.00, 90.00 degrees
With the nearest neighbours (Å) after each atom.
Fractional positions:
1 As 0.0000 0.7075 0.8595  2 Cd 2.61, 2 In 2.62-2.64
2 As 0.0000 0.2925 0.3595  2 Cd 2.61, 2 In 2.62-2.64
3 Cd 0.5000 0.1224 0.5487  2 O 2.26-2.31
4 Cd 0.5000 0.8776 0.0487  2 O 2.26-2.31
5 O 0.5000 0.1879 0.8876  2 In 2.24, 2 Cd 2.26-2.31
6 O 0.5000 0.8121 0.3876  2 In 2.24, 2 Cd 2.26-2.31
7 In 0.0000 0.3244 0.9581  2 O 2.24
8 In 0.0000 0.6756 0.4581  2 O 2.24

(4)
The following is a DFT calculation (PBE) of crystalline CdInAsO at its relaxed geometry.

Summary:
Polymorph energy (0 for the lowest one) = 0.0 kJ/mol of atoms
Space-group type = No. 26
Crystal system = orthorhombic
Final energy = -31.43 eV for the cell shown

Cell lengths 4.1767, 6.7033, 6.3059 Å; angles 90.00, 90.00, 90.00 degrees
With the nearest neighbours (Å) after each atom.
Fractional positions:
1 Cd 0.0000 0.2999 0.9619  2 O 2.38, 2 As 2.64-2.65
2 Cd 0.0000 0.7001 0.4619  2 O 2.38, 2 As 2.64-2.65
3 O 0.5000 0.8519 0.3764  2 In 2.16, 2 Cd 2.38
4 O 0.5000 0.1481 0.8764  2 In 2.16, 2 Cd 2.38
5 In 0.5000 0.1381 0.5347  2 O 2.16
6 In 0.5000 0.8619 0.0347  2 O 2.16
7 As 0.0000 0.3120 0.3811  2 In 2.58, 2 Cd 2.64-2.65
8 As 0.0000 0.6880 0.8811  2 In 2.58, 2 Cd 2.64-2.65

(5)
The following is a DFT calculation (PBE) of crystalline Zr4CdInAs2 at its relaxed geometry.

Summary:
Space-group type = No. 187
Crystal system = hexagonal
Total magnetization = 0.0 μB/cell
Final energy = -51.90 eV for the cell shown

Cell lengths 3.7031, 3.7031, 15.2607 Å; angles 90.00, 90.00, 120.00 degrees
With the nearest neighbours (Å) after each atom.
Fractional positions:
1 Cd 0.6667 0.3333 0.0000  6 Zr 3.11
2 Zr 0.0000 0.0000 0.1479  3 As 2.64
3 Zr 0.6667 0.3333 0.6483  3 As 2.65
4 Zr 0.0000 0.0000 0.8521  3 As 2.64
5 Zr 0.6667 0.3333 0.3517  3 As 2.65
6 As 0.3333 0.6667 0.7506  6 Zr 2.64-2.65
7 As 0.3333 0.6667 0.2494  6 Zr 2.64-2.65
8 In 0.0000 0.0000 0.5000  6 Zr 3.11

(6)
The following is a DFT calculation (PBE) of crystalline CdAs2Ir at its relaxed geometry.

Summary:
Space-group type = No. 216
Crystal system = cubic
Total magnetization = 0.0 μB/cell
Final energy = -17.10 eV for the cell shown

Cell lengths 4.6689, 4.6689, 4.6689 Å; angles 60.00, 60.00, 60.00 degrees
With the nearest neighbours (Å) after each atom.
Fractional positions:
1 Ir 0.0000 0.0000 0.0000  4 Cd 2.86, 4 As 2.86
2 As 0.5000 0.5000 0.5000  4 As 2.86, 4 Cd 2.86
3 As 0.2500 0.2500 0.2500  4 As 2.86, 4 Ir 2.86
4 Cd 0.7500 0.7500 0.7500  4 Ir 2.86, 4 As 2.86

(7)
The following is a DFT calculation (PBE) of crystalline MgCdAsIr at its relaxed geometry.

Summary:
Polymorph energy (0 for the lowest one) = 0.0 kJ/mol of atoms
Space-group type = No. 216
Crystal system = cubic
Total magnetization = 0.0 μB/cell
Final energy = -15.89 eV for the cell shown

Cell lengths 4.6099, 4.6099, 4.6099 Å; angles 60.00, 60.00, 60.00 degrees
With the nearest neighbours (Å) after each atom.
Fractional positions:
1 Ir 0.2500 0.2500 0.2500  4 Cd 2.82, 4 As 2.82
2 Mg 0.7500 0.7500 0.7500  4 As 2.82, 4 Cd 2.82
3 Cd 0.0000 0.0000 0.0000  4 Ir 2.82, 4 Mg 2.82
4 As 0.5000 0.5000 0.5000  4 Mg 2.82, 4 Ir 2.82

(8)
The following is a DFT calculation (PBE) of crystalline Nd2CdAs2IrO2 at its relaxed geometry.

Summary:
Space-group type = No. 115
Crystal system = tetragonal
Total magnetization = 0.0 μB/cell
Final energy = -51.21 eV for the cell shown

Cell lengths 4.1191, 4.1191, 8.7943 Å; angles 90.00, 90.00, 90.00 degrees
With the nearest neighbours (Å) after each atom.
Fractional positions:
1 Nd 0.5000 0.0000 0.3689  4 O 2.36
2 Nd 0.0000 0.5000 0.6311  4 O 2.36
3 As 0.0000 0.5000 0.1864  2 Cd 2.63, 2 Ir 2.63
4 As 0.5000 0.0000 0.8136  2 Ir 2.63, 2 Cd 2.63
5 Cd 0.0000 0.0000 0.0000  4 As 2.63, 4 Ir 2.91
6 Ir 0.5000 0.5000 0.0000  4 As 2.63, 4 Cd 2.91
7 O 0.5000 0.5000 0.5000  4 Nd 2.36
8 O 0.0000 0.0000 0.5000  4 Nd 2.36